Material: Th8Te4HOs3
Method: DFT, PBE
State: optimized geometry

a b c (Å): 8.3104 8.3104 23.0774
angles (deg): 90.00 90.00 120.00
Space group R-3m (No. 166, hexagonal axes)
Inequivalent atoms, fractional coordinates:
Th1 0.0000 0.0000 0.2336 [6 per cell]
Th2 0.0068 0.5034 0.7658 [18 per cell]
Te1 0.0000 0.0000 0.0000 [3 per cell]
Te2 0.0000 0.5000 0.0000 [9 per cell]
H1 0.0000 0.0000 0.5000 [3 per cell]
Os1 0.0000 0.5000 0.5000 [9 per cell]

**Density of states at the Fermi level**: 11.27 states/eV/f.u.
**Final energy**: -7.5630 eV/atom